1.
The following is a DFT calculation (PBE) of a geometry-optimized NdSnPb structure.

## Properties
As for the space group: F-43m, No. 216. For the total energy, the calculation gives -13.041 eV for the cell shown. Its energy above the most stable polymorph in this dataset is 0.0 meV/atom. The calculation puts the calculated volume at 104.3 Å³/f.u.

The structure in CIF format:
```
data_NdSnPb
_chemical_formula_sum 'Nd1 Sn1 Pb1'
_cell_length_a 5.2836
_cell_length_b 5.2836
_cell_length_c 5.2836
_cell_angle_alpha 60.00
_cell_angle_beta 60.00
_cell_angle_gamma 60.00
_symmetry_space_group_name_H-M 'P 1'
_symmetry_Int_Tables_number 1
_symmetry_space_group_name_Hall 'P 1'
loop_
_atom_site_label
_atom_site_fract_x
_atom_site_fract_y
_atom_site_fract_z
Nd1 0.0000 0.0000 0.0000
Pb1 0.5000 0.5000 0.5000
Sn1 0.7500 0.7500 0.7500
```


2.
The following is a DFT calculation (PBE) of a geometry-optimized Nd3Sn6Pb structure.

## Properties
As for the space group: Cmmm, No. 65. For the total energy, the calculation gives -47.731 eV for the cell shown. The calculation puts the calculated volume at 280.2 Å³/f.u.

The structure in CIF format:
```
data_Nd3Sn6Pb
_chemical_formula_sum 'Nd3 Sn6 Pb1'
_cell_length_a 13.1910
_cell_length_b 13.1910
_cell_length_c 4.6834
_cell_angle_alpha 90.00
_cell_angle_beta 90.00
_cell_angle_gamma 159.89
_symmetry_space_group_name_H-M 'P 1'
_symmetry_Int_Tables_number 1
_symmetry_space_group_name_Hall 'P 1'
loop_
_atom_site_label
_atom_site_fract_x
_atom_site_fract_y
_atom_site_fract_z
Nd1 0.6862 0.3138 0.0000
Nd2 0.5000 0.5000 0.0000
Nd3 0.3138 0.6862 0.0000
Pb1 0.0000 0.0000 0.5000
Sn1 0.9039 0.0961 0.0000
Sn2 0.0961 0.9039 0.0000
Sn3 0.7897 0.2103 0.5000
Sn4 0.5970 0.4030 0.5000
Sn5 0.4030 0.5970 0.5000
Sn6 0.2103 0.7897 0.5000
```


Copy entry 2 word for word.
The following is a DFT calculation (PBE) of a geometry-optimized Nd3Sn6Pb structure.

## Properties
As for the space group: Cmmm, No. 65. For the total energy, the calculation gives -47.731 eV for the cell shown. The calculation puts the calculated volume at 280.2 Å³/f.u.

The structure in CIF format:
```
data_Nd3Sn6Pb
_chemical_formula_sum 'Nd3 Sn6 Pb1'
_cell_length_a 13.1910
_cell_length_b 13.1910
_cell_length_c 4.6834
_cell_angle_alpha 90.00
_cell_angle_beta 90.00
_cell_angle_gamma 159.89
_symmetry_space_group_name_H-M 'P 1'
_symmetry_Int_Tables_number 1
_symmetry_space_group_name_Hall 'P 1'
loop_
_atom_site_label
_atom_site_fract_x
_atom_site_fract_y
_atom_site_fract_z
Nd1 0.6862 0.3138 0.0000
Nd2 0.5000 0.5000 0.0000
Nd3 0.3138 0.6862 0.0000
Pb1 0.0000 0.0000 0.5000
Sn1 0.9039 0.0961 0.0000
Sn2 0.0961 0.9039 0.0000
Sn3 0.7897 0.2103 0.5000
Sn4 0.5970 0.4030 0.5000
Sn5 0.4030 0.5970 0.5000
Sn6 0.2103 0.7897 0.5000
```